1.
The following is a DFT calculation (PBE) of crystalline La3Pr4Er5 at its relaxed geometry.

a b c (Å): 6.3070 7.2615 8.9027
angles (deg): 89.64 89.83 89.86
Closest atoms and distances in Å follow each position.
Space group P-1 (No. 2)
Symmetry-distinct sites (fractional):
La 0.0000 0.0000 0.0000  4 La 3.62-3.65, 6 Er 3.63-3.67, 2 Pr 3.66
La 0.4977 0.7516 0.0012  4 La 3.61-3.65, 5 Er 3.62-3.66, 3 Pr 3.64-3.67
Pr 0.1653 0.2484 0.3361  7 Er 3.57-3.66, 3 Pr 3.61-3.68, 2 La 3.66-3.67
Pr 0.3294 0.5002 0.6656  6 Er 3.60-3.66, 4 Pr 3.61-3.68, 2 La 3.64-3.67
Er 0.0000 0.5000 0.0000  4 Pr 3.63-3.65, 6 La 3.63-3.65, 2 Er 3.67
Er 0.1683 0.7519 0.3355  4 Er 3.60-3.67, 6 Pr 3.60-3.66, 2 La 3.62-3.64
Er 0.3357 0.0009 0.6623  4 Er 3.55-3.65, 5 Pr 3.57-3.65, 3 La 3.66-3.67

Output
DOS(E_F), states/eV per cell: 17.76
ΔH_f (0 K), meV per atom: 21.1
ρ, g cm⁻³: 7.40
E above lowest polymorph, meV per atom: 0.0

=====

2.
The following is a DFT calculation (PBE) of crystalline LiMnIn2Hg at its relaxed geometry.

a b c (Å): 4.9291 4.9291 4.8269
angles (deg): 90.00 90.00 90.00
Closest atoms and distances in Å follow each position.
Space group P4/mmm (No. 123)
Symmetry-distinct sites (fractional):
Li 0.0000 0.0000 0.0000  2 Hg 2.41, 4 In 2.46
Mn 0.5000 0.5000 0.5000  8 In 3.45, 4 Hg 3.49
In 0.0000 0.5000 0.0000  2 Li 2.46
Hg 0.0000 0.0000 0.5000  2 Li 2.41

Output
DOS(E_F), states/eV per cell: 2.95
ΔH_f (0 K), meV per atom: 462.0
ρ, g cm⁻³: 6.97

=====

3.
The following is a DFT calculation (PBE) of crystalline Ti2AlIn at its relaxed geometry.

a b c (Å): 3.0096 3.0096 28.2901
angles (deg): 90.00 90.00 120.00
Closest atoms and distances in Å follow each position.
Space group R3m (No. 160, hexagonal axes)
Symmetry-distinct sites (fractional):
Ti 0.0000 0.0000 0.0000  3 Al 2.85, 6 Ti 3.01, 3 In 3.01
Ti 0.0000 0.0000 0.1738  3 Al 2.84, 3 In 3.01, 6 Ti 3.01
Al 0.0000 0.0000 0.5868  6 Ti 2.84-2.85, 6 Al 3.01
In 0.0000 0.0000 0.7537  6 Ti 3.01, 6 In 3.01

Output
DOS(E_F), states/eV per cell: 10.81
ΔH_f (0 K), meV per atom: -80.0
ρ, g cm⁻³: 5.33